Rb2GaBiN | PBE-GGA | optimized geometry

Unit cell a=6.934 b=6.934 c=5.288 alpha=90.00 beta=90.00 gamma=90.00
Fractional coordinates of all 5 atoms:
Rb: 0.000 0.500 0.000
Rb: 0.500 0.000 0.000
Ga: 0.000 0.000 0.000
Bi: 0.000 0.000 0.500
N: 0.500 0.500 0.500

## Properties
Calculated total energy in eV per atom: -2.624


Sr2YCdAu6 | PBE-GGA | optimized geometry

Unit cell a=7.640 b=7.640 c=7.640 alpha=60.00 beta=60.00 gamma=60.00
Fractional coordinates of all 10 atoms:
Sr: 0.250 0.250 0.250
Sr: 0.750 0.750 0.750
Y: 0.000 0.000 0.000
Cd: 0.500 0.500 0.500
Au: 0.254 0.254 0.746
Au: 0.254 0.746 0.254
Au: 0.254 0.746 0.746
Au: 0.746 0.254 0.254
Au: 0.746 0.254 0.746
Au: 0.746 0.746 0.254

## Properties
Formation energy from the elements in meV/atom: -223.0
Calculated total energy in eV per atom: -3.264


PmScAlZn | PBE-GGA | optimized geometry

Unit cell a=7.077 b=7.077 c=7.077 alpha=90.00 beta=90.00 gamma=90.00
Fractional coordinates of all 16 atoms:
Pm: 0.000 0.000 0.000
Pm: 0.000 0.500 0.500
Pm: 0.500 0.000 0.500
Pm: 0.500 0.500 0.000
Sc: 0.000 0.000 0.500
Sc: 0.000 0.500 0.000
Sc: 0.500 0.000 0.000
Sc: 0.500 0.500 0.500
Al: 0.250 0.250 0.250
Al: 0.250 0.750 0.750
Al: 0.750 0.250 0.750
Al: 0.750 0.750 0.250
Zn: 0.250 0.250 0.750
Zn: 0.250 0.750 0.250
Zn: 0.750 0.250 0.250
Zn: 0.750 0.750 0.750

## Properties
Formation energy from the elements in meV/atom: -356.3
Calculated total energy in eV per atom: -4.381